Entry 1:
CsZrGeS3: optimized geometry, PBE-GGA.

Lattice parameters (Å, degrees): 8.298 8.298 10.945 90.00 90.00 153.22
Fractional positions:
1 Cs 0.208 0.792 0.750
2 Cs 0.792 0.208 0.250
3 Zr 0.500 0.500 0.000
4 Zr 0.500 0.500 0.500
5 Ge 0.095 0.905 0.250
6 Ge 0.905 0.095 0.750
7 S 0.108 0.892 0.012
8 S 0.108 0.892 0.488
9 S 0.499 0.501 0.750
10 S 0.501 0.499 0.250
11 S 0.892 0.108 0.512
12 S 0.892 0.108 0.988

Output
Electronic total energy   -64.2 eV/cell
Crystal system   orthorhombic
Spin magnetization   0.326 μB per formula unit

Entry 2:
UTcW: optimized geometry, PBE-GGA.

Lattice parameters (Å, degrees): 4.413 4.413 4.413 60.00 60.00 60.00
Fractional positions:
1 U 0.000 0.000 0.000
2 Tc 0.500 0.500 0.500
3 W 0.250 0.250 0.250

Output
Energy of formation   0.718 eV/atom
Energy relative to the lowest polymorph listed for this composition   0 kJ/mol of formula units
Electronic total energy   -32.5 eV/cell
Crystal system   cubic
Spin magnetization   0.999 μB per formula unit

Entry 3:
PaZn: optimized geometry, PBE-GGA.

Lattice parameters (Å, degrees): 3.072 3.072 5.224 90.00 90.00 120.00
Fractional positions:
1 Pa 0.000 0.000 0.000
2 Zn 0.667 0.333 0.500

Output
Energy of formation   0.051 eV/atom
Electronic total energy   -10.7 eV/cell
Crystal system   hexagonal
Spin magnetization   0.038 μB per formula unit